Record 1
# K2FeP GGA-PBE optimized geometry
data_K2FeP
_symmetry_space_group_name_H-M 'P 1'
_symmetry_Int_Tables_number 1
_symmetry_space_group_name_Hall 'P 1'
_cell_length_a 3.2899
_cell_length_b 3.2899
_cell_length_c 9.9479
_cell_angle_alpha 90.00
_cell_angle_beta 90.00
_cell_angle_gamma 90.00
loop_
_atom_site_label
_atom_site_type_symbol
_atom_site_fract_x
_atom_site_fract_y
_atom_site_fract_z
K1 K 0.0000 0.0000 0.9167
Fe1 Fe 0.5000 0.5000 0.6486
P1 P 0.0000 0.0000 0.5942
K2 K 0.5000 0.5000 0.3405
# SG: P4mm, No. 99

***

Record 2
# KFe3P GGA-PBE optimized geometry
data_KFe3P
_symmetry_space_group_name_H-M 'P 1'
_symmetry_Int_Tables_number 1
_symmetry_space_group_name_Hall 'P 1'
_cell_length_a 4.4770
_cell_length_b 4.4770
_cell_length_c 4.4770
_cell_angle_alpha 90.00
_cell_angle_beta 90.00
_cell_angle_gamma 90.00
loop_
_atom_site_label
_atom_site_type_symbol
_atom_site_fract_x
_atom_site_fract_y
_atom_site_fract_z
K1 K 0.0000 0.0000 0.0000
Fe1 Fe 0.5000 0.0000 0.0000
P1 P 0.5000 0.5000 0.5000
Fe2 Fe 0.0000 0.0000 0.5000
Fe3 Fe 0.0000 0.5000 0.0000
# SG: Pm-3m, No. 221
# Energy above the most stable polymorph in this dataset (meV per atom): 1945.0

***

Record 3
# K2FeP GGA-PBE optimized geometry
data_K2FeP
_symmetry_space_group_name_H-M 'P 1'
_symmetry_Int_Tables_number 1
_symmetry_space_group_name_Hall 'P 1'
_cell_length_a 5.1427
_cell_length_b 7.7557
_cell_length_c 8.5176
_cell_angle_alpha 30.14
_cell_angle_beta 90.00
_cell_angle_gamma 90.00
loop_
_atom_site_label
_atom_site_type_symbol
_atom_site_fract_x
_atom_site_fract_y
_atom_site_fract_z
K1 K 0.0000 0.2065 0.0596
K2 K 0.0000 0.2935 0.4404
Fe1 Fe 0.5000 0.7500 0.7500
P1 P 0.5000 0.2500 0.2500
# SG: P2/m, No. 10

***

Record 4
# K2FeP GGA-PBE optimized geometry
data_K2FeP
_symmetry_space_group_name_H-M 'P 1'
_symmetry_Int_Tables_number 1
_symmetry_space_group_name_Hall 'P 1'
_cell_length_a 4.0368
_cell_length_b 4.0368
_cell_length_c 9.6913
_cell_angle_alpha 78.31
_cell_angle_beta 78.31
_cell_angle_gamma 60.00
loop_
_atom_site_label
_atom_site_type_symbol
_atom_site_fract_x
_atom_site_fract_y
_atom_site_fract_z
P1 P 0.5417 0.5417 0.3750
Fe1 Fe 0.2084 0.2084 0.3750
K1 K 0.9603 0.9603 0.1118
K2 K 0.7897 0.7897 0.6382
# SG: Cm, No. 8

***

Record 5
# KFeP4 GGA-PBE optimized geometry
data_KFeP4
_symmetry_space_group_name_H-M 'P 1'
_symmetry_Int_Tables_number 1
_symmetry_space_group_name_Hall 'P 1'
_cell_length_a 5.8729
_cell_length_b 5.8729
_cell_length_c 5.8729
_cell_angle_alpha 60.00
_cell_angle_beta 60.00
_cell_angle_gamma 60.00
loop_
_atom_site_label
_atom_site_type_symbol
_atom_site_fract_x
_atom_site_fract_y
_atom_site_fract_z
P1 P 0.4045 0.7865 0.4045
K1 K 0.0000 0.0000 0.0000
P2 P 0.4045 0.4045 0.4045
Fe1 Fe 0.7500 0.7500 0.7500
P3 P 0.7865 0.4045 0.4045
P4 P 0.4045 0.4045 0.7865
# SG: F-43m, No. 216

***

Record 6
# K2FeP GGA-PBE optimized geometry
data_K2FeP
_symmetry_space_group_name_H-M 'P 1'
_symmetry_Int_Tables_number 1
_symmetry_space_group_name_Hall 'P 1'
_cell_length_a 5.9680
_cell_length_b 5.9680
_cell_length_c 5.9680
_cell_angle_alpha 138.07
_cell_angle_beta 138.07
_cell_angle_gamma 60.79
loop_
_atom_site_label
_atom_site_type_symbol
_atom_site_fract_x
_atom_site_fract_y
_atom_site_fract_z
K1 K 0.2500 0.7500 0.5000
Fe1 Fe 0.5000 0.5000 0.0000
P1 P 0.0000 0.0000 0.0000
K2 K 0.7500 0.2500 0.5000
# SG: I4/mmm, No. 139

***

Record 7
# K2FeP GGA-PBE optimized geometry
data_K2FeP
_symmetry_space_group_name_H-M 'P 1'
_symmetry_Int_Tables_number 1
_symmetry_space_group_name_Hall 'P 1'
_cell_length_a 5.0558
_cell_length_b 5.0558
_cell_length_c 5.0558
_cell_angle_alpha 60.00
_cell_angle_beta 60.00
_cell_angle_gamma 60.00
loop_
_atom_site_label
_atom_site_type_symbol
_atom_site_fract_x
_atom_site_fract_y
_atom_site_fract_z
K1 K 0.2500 0.2500 0.2500
P1 P 0.7500 0.7500 0.7500
K2 K 0.0000 0.0000 0.0000
Fe1 Fe 0.5000 0.5000 0.5000
# SG: F-43m, No. 216

***

Record 8
# K2FeP GGA-PBE optimized geometry
data_K2FeP
_symmetry_space_group_name_H-M 'P 1'
_symmetry_Int_Tables_number 1
_symmetry_space_group_name_Hall 'P 1'
_cell_length_a 6.1167
_cell_length_b 6.1167
_cell_length_c 6.1167
_cell_angle_alpha 139.07
_cell_angle_beta 123.46
_cell_angle_gamma 72.12
loop_
_atom_site_label
_atom_site_type_symbol
_atom_site_fract_x
_atom_site_fract_y
_atom_site_fract_z
P1 P 0.4054 0.4054 0.0000
Fe1 Fe 0.3496 0.8496 0.5000
K1 K 0.0309 0.0309 0.0000
K2 K 0.7141 0.2141 0.5000
# SG: Imm2, No. 44

***

no.,E (eV per atom)
1,-3.84
2,-3.87
3,-3.85
4,-4.04
5,-4.65
6,-3.35
7,-3.46
8,-3.97